1.
The following is a GGA-PBE calculation of TcN2ClF after structural relaxation, from Alexandria.

```
TcN2ClF
1.0
-1.930 -3.342 -0.990
2.166 -0.263 -3.334
2.698 -2.127 1.920
Cl Tc F N
1 1 1 2
direct
0.000 0.000 0.000
0.500 0.500 0.500
0.000 0.000 0.500
0.500 0.000 0.000
0.000 0.500 0.000
```

**Calculated volume**: 12.50 Å³/atom
**Energy relative to the elements, uncorrected**: 2.026 eV per atom
**Symmetry**: P4/mmm (123)
**Raw total energy**: -4.121 eV/atom
**D(E_F)**: 2.608 states/eV per cell

=====

2.
The following is a GGA-PBE calculation of Pr6Te3Ir2I after structural relaxation, from Alexandria.

```
Pr6Te3Ir2I
1.0
-0.993 -3.976 -1.391
8.001 -3.183 3.389
-5.948 1.031 8.031
Te Pr Ir I
3 6 2 1
direct
0.846 0.155 0.692
0.154 0.845 0.308
0.500 0.500 0.000
0.320 0.865 0.641
0.680 0.135 0.359
0.324 0.434 0.647
0.022 0.276 0.045
0.676 0.566 0.353
0.978 0.724 0.955
0.829 0.659 0.659
0.171 0.341 0.341
0.500 0.000 0.000
```

**Calculated volume**: 31.61 Å³/atom
**Energy relative to the elements, uncorrected**: -1.101 eV per atom
**Symmetry**: C2/m (12)
**Raw total energy**: -5.882 eV/atom
**D(E_F)**: 6.916 states/eV per cell

=====

3.
The following is a GGA-PBE calculation of V2GaTcN after structural relaxation, from Alexandria.

```
V2GaTcN
1.0
3.926 0.000 0.000
0.000 3.926 0.000
0.000 0.000 4.069
Ga Tc N V
1 1 1 2
direct
0.500 0.500 0.500
0.000 0.000 0.500
0.000 0.000 0.000
0.500 0.000 0.000
0.000 0.500 0.000
```

**Calculated volume**: 12.54 Å³/atom
**Energy relative to the elements, uncorrected**: -0.456 eV per atom
**Symmetry**: P4/mmm (123)
**Raw total energy**: -8.447 eV/atom
**D(E_F)**: 3.442 states/eV per cell

=====

4.
The following is a GGA-PBE calculation of DySc4Cd5 after structural relaxation, from Alexandria.

```
DySc4Cd5
1.0
3.569 0.000 0.000
0.000 3.569 0.000
0.000 0.000 17.997
Cd Sc Dy
5 4 1
direct
0.500 0.500 0.113
0.500 0.500 0.305
0.500 0.500 0.695
0.500 0.500 0.500
0.500 0.500 0.887
0.000 0.000 0.792
0.000 0.000 0.403
0.000 0.000 0.208
0.000 0.000 0.597
0.000 0.000 0.000
```

**E_form**: -0.29 eV/atom
**Calculated volume**: 22.93 Å³/atom
**Symmetry**: P4/mmm (123)
**Raw total energy**: -3.744 eV/atom
**D(E_F)**: 10.049 states/eV per cell

=====

5.
The following is a GGA-PBE calculation of Ce5HoIr4 after structural relaxation, from Alexandria.

```
Ce5HoIr4
1.0
4.146 0.000 0.000
0.000 7.693 -0.786
-2.073 -1.919 8.526
Ir Ce Ho
4 5 1
direct
0.318 0.860 0.636
0.004 0.265 0.007
0.682 0.140 0.364
0.996 0.735 0.993
0.828 0.629 0.656
0.172 0.371 0.344
0.837 0.127 0.674
0.163 0.873 0.326
0.500 0.500 0.000
0.500 0.000 0.000
```

**E_form**: -0.58 eV/atom
**Calculated volume**: 26.57 Å³/atom
**Symmetry**: C2/m (12)
**Raw total energy**: -7.548 eV/atom
**D(E_F)**: 24.414 states/eV per cell

=====

6.
The following is a GGA-PBE calculation of Sr2CuRuC after structural relaxation, from Alexandria.

```
Sr2CuRuC
1.0
-2.212 -2.102 4.733
-1.276 -3.756 -2.265
4.933 -2.419 1.232
Ru Sr Cu C
1 2 1 1
direct
0.000 0.000 0.000
0.000 0.000 0.500
0.500 0.000 0.000
0.000 0.500 0.000
0.500 0.500 0.500
```

**E_form**: 1.43 eV/atom
**Calculated volume**: 28.97 Å³/atom
**Symmetry**: P4/mmm (123)
**Raw total energy**: -3.762 eV/atom
**D(E_F)**: 3.278 states/eV per cell

=====

7.
The following is a GGA-PBE calculation of AcLaAgIr after structural relaxation, from Alexandria.

```
AcLaAgIr
1.0
-0.641 -2.142 -4.812
3.855 0.411 -3.622
2.801 -4.286 -1.391
Ac Ir La Ag
1 1 1 1
direct
0.000 0.000 0.000
0.750 0.750 0.750
0.500 0.500 0.500
0.250 0.250 0.250
```

**E_form**: -0.40 eV/atom
**Calculated volume**: 26.41 Å³/atom
**Symmetry**: F-43m (216)
**Raw total energy**: -5.591 eV/atom
**D(E_F)**: 3.709 states/eV per cell

=====

8.
The following is a GGA-PBE calculation of Y2ErF after structural relaxation, from Alexandria.

```
Y2ErF
1.0
-1.568 -1.999 -2.655
0.434 -3.649 -0.052
-7.316 -2.775 3.867
F Er Y
1 1 2
direct
0.000 0.000 0.000
0.500 0.500 0.500
0.724 0.724 0.829
0.276 0.276 0.171
```

**Calculated volume**: 24.76 Å³/atom
**Energy relative to the elements, uncorrected**: -1.140 eV per atom
**Symmetry**: R-3m (166)
**Raw total energy**: -5.981 eV/atom
**D(E_F)**: 3.461 states/eV per cell

=====

9.
The following is a GGA-PBE calculation of RbAcI2 after structural relaxation, from Alexandria.

```
RbAcI2
1.0
4.317 0.000 0.000
2.159 3.739 0.000
2.159 1.246 10.221
Rb I Ac
1 2 1
direct
0.500 0.500 0.500
0.748 0.748 0.757
0.252 0.252 0.243
0.000 0.000 0.000
```

**Calculated volume**: 41.25 Å³/atom
**Energy relative to the elements, uncorrected**: -1.103 eV per atom
**Symmetry**: R-3m (166)
**Raw total energy**: -3.147 eV/atom
**D(E_F)**: 1.996 states/eV per cell

=====

10.
The following is a GGA-PBE calculation of Mn2VMoH after structural relaxation, from Alexandria.

```
Mn2VMoH
1.0
3.646 0.000 0.000
0.000 3.646 0.000
0.000 0.000 4.148
Mn H V Mo
2 1 1 1
direct
0.000 0.500 0.000
0.500 0.000 0.000
0.000 0.000 0.000
0.500 0.500 0.500
0.000 0.000 0.500
```

**Calculated volume**: 11.03 Å³/atom
**Symmetry**: P4/mmm (123)
**Raw total energy**: -8.258 eV/atom
**D(E_F)**: 4.668 states/eV per cell

=====

11.
The following is a GGA-PBE calculation of Ce2GdTm after structural relaxation, from Alexandria.

```
Ce2GdTm
1.0
-3.079 -2.079 4.202
0.998 -5.177 1.913
2.295 -0.724 5.066
Ce Gd Tm
2 1 1
direct
0.750 0.750 0.750
0.250 0.250 0.250
0.000 0.000 0.000
0.500 0.500 0.500
```

**E_form**: 0.22 eV/atom
**Calculated volume**: 31.19 Å³/atom
**Symmetry**: Fm-3m (225)
**Raw total energy**: -7.385 eV/atom
**D(E_F)**: 15.184 states/eV per cell

=====

12.
The following is a GGA-PBE calculation of RuAuSe2 after structural relaxation, from Alexandria.

```
RuAuSe2
1.0
2.959 0.023 0.000
-0.023 2.959 0.000
0.000 0.000 9.079
Ru Au Se
1 1 2
direct
0.500 0.500 0.764
0.000 0.000 0.534
0.000 0.000 0.913
0.500 0.500 0.289
```

**Calculated volume**: 19.87 Å³/atom
**Energy relative to the elements, uncorrected**: 0.131 eV per atom
**Symmetry**: P4mm (99)
**Raw total energy**: -4.750 eV/atom
**D(E_F)**: 2.797 states/eV per cell